YTh2Sc6 after structural relaxation. Source: Alexandria, functional PBE-GGA.

a b c (Å): 7.1151 7.1151 7.1151
angles (deg): 60.00 60.00 60.00
Last column: nearest neighbours and their distance in Å.
Fractional positions:
Y (0.0000, 0.0000, 0.0000)  6 Sc 2.86
Th (0.2500, 0.2500, 0.2500)  12 Sc 3.57
Th (0.7500, 0.7500, 0.7500)  12 Sc 3.57
Sc (0.2846, 0.2846, 0.7154)  1 Y 2.86, 4 Sc 3.06
Sc (0.2846, 0.7154, 0.2846)  1 Y 2.86, 4 Sc 3.06
Sc (0.2846, 0.7154, 0.7154)  1 Y 2.86, 4 Sc 3.06
Sc (0.7154, 0.2846, 0.2846)  1 Y 2.86, 4 Sc 3.06
Sc (0.7154, 0.2846, 0.7154)  1 Y 2.86, 4 Sc 3.06
Sc (0.7154, 0.7154, 0.2846)  1 Y 2.86, 4 Sc 3.06

Computed properties:
E_form = 0.379 eV/atom
calculated total energy = -6.209 eV/atom

Pa2SiRu after structural relaxation. Source: Alexandria, functional PBE-GGA.

a b c (Å): 4.2691 4.2691 4.2285
angles (deg): 90.00 90.00 90.00
Last column: nearest neighbours and their distance in Å.
Fractional positions:
Pa (0.0000, 0.5000, 0.0000)  4 Ru 3.00, 4 Si 3.00, 4 Pa 3.02
Pa (0.5000, 0.0000, 0.0000)  4 Ru 3.00, 4 Si 3.00, 4 Pa 3.02
Si (0.0000, 0.0000, 0.5000)  8 Pa 3.00, 4 Ru 3.02
Ru (0.5000, 0.5000, 0.5000)  8 Pa 3.00, 4 Si 3.02

Computed properties:
formation energy from raw total energies = -0.428 eV per atom
energy above the most stable polymorph in this dataset = 112 meV/atom
calculated total energy = -8.850 eV/atom